VASP calculation (PBE) on a geometry-optimized Ga2AgCl structure.

```
Ga2AgCl
1.0
6.3255 0.0000 0.0000
0.0000 6.3255 0.0000
3.1627 3.1627 5.9508
Ag Ga Cl
2 4 2
Direct
0.7500 0.2500 0.5000
0.0000 0.0000 0.0000
0.6540 0.1250 0.2500
0.0960 0.6250 0.2500
0.3750 0.3460 0.7500
0.8750 0.9040 0.7500
0.5000 0.5000 0.0000
0.2500 0.7500 0.5000
```

Computed properties:
The calculation puts the density of states at the Fermi level at 0.5 states/eV per cell. The space group is I-42d. As for the energy above the lowest structure with this stoichiometry: 0 meV/atom. The uncorrected formation energy comes out at -0.17 eV per formula unit. The total magnetic moment comes out at 0.00 μB/cell.

***

VASP calculation (PBE) on a geometry-optimized Ga2Ag2Cl7 structure.

```
Ga2Ag2Cl7
1.0
6.6140 -0.2467 -0.3217
-1.5170 7.1591 0.4111
-1.5170 -1.4594 7.0208
Ag Ga Cl
2 2 7
Direct
0.5000 0.3051 0.6949
0.5000 0.6949 0.3051
0.0958 0.7884 0.7884
0.9042 0.2116 0.2116
0.2906 0.9409 0.6040
0.0000 0.0000 0.0000
0.7094 0.0591 0.3960
0.2906 0.6040 0.9409
0.7094 0.3960 0.0591
0.7794 0.5854 0.5854
0.2206 0.4146 0.4146
```

Computed properties:
The calculation puts the density of states at the Fermi level at 4.3 states/eV per cell. The space group is C2/m. The uncorrected formation energy comes out at -8.21 eV per formula unit. The total magnetic moment comes out at 0.00 μB/cell.

***

VASP calculation (PBE) on a geometry-optimized Ga2AgCl structure.

```
Ga2AgCl
1.0
-0.3483 -3.7790 -3.2084
-4.4671 -1.6818 -1.3827
-1.6375 0.8075 -4.6219
Ga Cl Ag
2 1 1
Direct
0.2500 0.2500 0.2500
0.7500 0.7500 0.7500
0.0000 0.0000 0.0000
0.5000 0.5000 0.5000
```

Computed properties:
The calculation puts the density of states at the Fermi level at 0.9 states/eV per cell. The space group is Fm-3m. As for the energy above the lowest structure with this stoichiometry: 7 meV/atom. The uncorrected formation energy comes out at -0.14 eV per formula unit. The total magnetic moment comes out at 0.00 μB/cell.

***

VASP calculation (PBE) on a geometry-optimized GaAgCl4 structure.

```
GaAgCl4
1.0
6.7063 0.0000 0.0000
0.0000 6.6974 0.0000
0.0000 0.0000 10.2828
Ag Ga Cl
2 2 8
Direct
0.0000 0.0000 0.0000
0.5000 0.0000 0.5000
0.0000 0.0000 0.5000
0.0000 0.5000 0.0000
0.1915 0.2981 0.1159
0.1915 0.7019 0.8841
0.2030 0.8135 0.3813
0.7970 0.1865 0.3813
0.8085 0.7019 0.1159
0.7970 0.8135 0.6187
0.2030 0.1865 0.6187
0.8085 0.2981 0.8841
```

Computed properties:
The calculation puts the density of states at the Fermi level at 0.0 states/eV per cell. The space group is P222. As for the energy above the lowest structure with this stoichiometry: 6 meV/atom. The uncorrected formation energy comes out at -5.47 eV per formula unit. The total magnetic moment comes out at 0.00 μB/cell.

***

VASP calculation (PBE) on a geometry-optimized GaAg2Cl5 structure.

```
GaAg2Cl5
1.0
-1.1180 -5.1216 0.4789
1.0378 1.8568 -6.6511
12.0523 -2.5209 1.1769
Cl Ag Ga
10 4 2
Direct
0.9311 0.8622 0.8810
0.0689 0.1378 0.1190
0.6745 0.3490 0.6140
0.6745 0.3490 0.8860
0.0689 0.1378 0.3810
0.9311 0.8622 0.6190
0.3255 0.6510 0.1140
0.3255 0.6510 0.3860
0.7157 0.4315 0.2500
0.2843 0.5685 0.7500
0.1490 0.2980 0.5757
0.8510 0.7020 0.0757
0.1490 0.2980 0.9243
0.8510 0.7020 0.4243
0.1969 0.3938 0.2500
0.8031 0.6062 0.7500
```

Computed properties:
The space group is Cmcm. As for the energy above the lowest structure with this stoichiometry: 88 meV/atom. The uncorrected formation energy comes out at -5.59 eV per formula unit. The total magnetic moment comes out at 0.00 μB/cell.

***

VASP calculation (PBE) on a geometry-optimized GaAgCl5 structure.

```
GaAgCl5
1.0
-5.1345 -3.3170 -3.8220
3.2020 -6.0583 2.2401
-4.2694 2.9937 7.2250
Cl Ga Ag
10 2 2
Direct
0.9053 0.0947 0.2500
0.0677 0.6761 0.3612
0.2614 0.4105 0.0634
0.7386 0.5895 0.9366
0.6761 0.0677 0.8612
0.5895 0.7386 0.4366
0.4105 0.2614 0.5634
0.3239 0.9323 0.1388
0.9323 0.3239 0.6388
0.0947 0.9053 0.7500
0.6817 0.3183 0.7500
0.3183 0.6817 0.2500
0.0000 0.0000 0.5000
0.0000 0.0000 0.0000
```

Computed properties:
The calculation puts the density of states at the Fermi level at 6.3 states/eV per cell. The space group is C2/c. The uncorrected formation energy comes out at -5.43 eV per formula unit. The total magnetic moment comes out at 0.00 μB/cell.

***

VASP calculation (PBE) on a geometry-optimized GaAgCl4 structure.

```
GaAgCl4
1.0
-4.5383 -1.3418 -4.4024
3.6783 -0.3565 -5.3028
1.1995 -8.9755 1.1250
Ga Cl Ag
2 8 2
Direct
0.1268 0.8732 0.2500
0.8732 0.1268 0.7500
0.7193 0.2861 0.9486
0.8007 0.8210 0.2507
0.8210 0.8007 0.7507
0.1993 0.1790 0.7493
0.2807 0.7139 0.0514
0.2861 0.7193 0.4486
0.7139 0.2807 0.5514
0.1790 0.1993 0.2493
0.5000 0.0000 0.5000
0.0000 0.5000 0.0000
```

Computed properties:
The calculation puts the density of states at the Fermi level at 0.0 states/eV per cell. The space group is C2/c. As for the energy above the lowest structure with this stoichiometry: 0 meV/atom. The uncorrected formation energy comes out at -5.51 eV per formula unit. The total magnetic moment comes out at 0.00 μB/cell.

***

VASP calculation (PBE) on a geometry-optimized GaAg3Cl6 structure.

```
GaAg3Cl6
1.0
-2.0963 -3.1313 -6.6248
4.0947 -7.1534 2.0854
-7.7056 -1.6230 3.2055
Ga Ag Cl
2 6 12
Direct
0.9453 0.1748 0.8252
0.4453 0.8252 0.1748
0.5516 0.3048 0.1193
0.5622 0.4493 0.5507
0.0516 0.1193 0.3048
0.5516 0.8807 0.6952
0.0622 0.5507 0.4493
0.0516 0.6952 0.8807
0.5822 0.6104 0.0546
0.9297 0.0035 0.9965
0.0822 0.3896 0.9454
0.8078 0.3413 0.3278
0.3078 0.3278 0.3413
0.0822 0.0546 0.6104
0.6649 0.2260 0.7740
0.8078 0.6722 0.6587
0.3078 0.6587 0.6722
0.1649 0.7740 0.2260
0.4297 0.9965 0.0035
0.5822 0.9454 0.3896
```

Computed properties:
The space group is Cmc2_1. As for the energy above the lowest structure with this stoichiometry: 0 meV/atom. The uncorrected formation energy comes out at -6.87 eV per formula unit. The total magnetic moment comes out at 0.00 μB/cell.

***

VASP calculation (PBE) on a geometry-optimized GaAg3Cl6 structure.

```
GaAg3Cl6
1.0
-0.1963 5.4847 3.9367
-4.7064 -2.8638 3.7552
7.1970 -4.2779 5.7574
Ga Ag Cl
2 6 12
Direct
0.5000 0.5000 0.5000
0.0000 0.0000 0.0000
0.0000 0.0000 0.5000
0.4913 0.9650 0.7612
0.9913 0.5350 0.2612
0.0087 0.4650 0.7388
0.5087 0.0350 0.2388
0.5000 0.5000 0.0000
0.3508 0.7995 0.4198
0.6492 0.2005 0.5802
0.1902 0.3287 0.4482
0.8508 0.7005 0.9198
0.3907 0.5857 0.7207
0.1093 0.0857 0.7793
0.6093 0.4143 0.2793
0.8907 0.9143 0.2207
0.8098 0.6713 0.5518
0.3098 0.8287 0.0518
0.6902 0.1713 0.9482
0.1492 0.2995 0.0802
```

Computed properties:
The space group is P2_1/c. As for the energy above the lowest structure with this stoichiometry: 37 meV/atom. The uncorrected formation energy comes out at -6.50 eV per formula unit. The total magnetic moment comes out at 0.00 μB/cell.

***

VASP calculation (PBE) on a geometry-optimized GaAg6Cl12 structure.

```
GaAg6Cl12
1.0
8.1259 0.7273 0.1780
0.1894 8.1562 0.1780
0.6808 0.7273 8.0993
Ga Cl Ag
1 12 6
Direct
0.0000 0.0000 0.0000
0.5935 0.8189 0.4469
0.2949 0.9642 0.0082
0.7051 0.0358 0.9918
0.5531 0.4065 0.1811
0.4065 0.1811 0.5531
0.9642 0.0082 0.2949
0.8189 0.4469 0.5935
0.9918 0.7051 0.0358
0.0358 0.9918 0.7051
0.0082 0.2949 0.9642
0.4469 0.5935 0.8189
0.1811 0.5531 0.4065
0.8929 0.7087 0.3994
0.1071 0.2913 0.6006
0.7087 0.3994 0.8929
0.6006 0.1071 0.2913
0.2913 0.6006 0.1071
0.3994 0.8929 0.7087
```

Computed properties:
The calculation puts the density of states at the Fermi level at 7.6 states/eV per cell. The space group is R-3. The uncorrected formation energy comes out at -10.00 eV per formula unit. The total magnetic moment comes out at 0.00 μB/cell.

***

VASP calculation (PBE) on a geometry-optimized GaAg2Cl4 structure.

```
GaAg2Cl4
1.0
-0.4488 -3.2931 5.0162
5.5500 -2.1402 -0.9085
-0.3222 7.1698 1.0691
Ag Cl Ga
2 4 1
Direct
0.7500 0.2500 0.5000
0.2500 0.7500 0.5000
0.1429 0.1429 0.7586
0.6157 0.6157 0.7586
0.3843 0.8571 0.2414
0.8571 0.3843 0.2414
0.5000 0.5000 0.0000
```

Computed properties:
The calculation puts the density of states at the Fermi level at 3.7 states/eV per cell. The space group is I-42m. The uncorrected formation energy comes out at -3.90 eV per formula unit. The total magnetic moment comes out at 0.56 μB/cell.

***

VASP calculation (PBE) on a geometry-optimized HfGaAgCl2 structure.

```
HfGaAgCl2
1.0
-1.1524 4.5104 1.5355
-2.5055 -2.0491 4.1384
4.1517 0.1755 2.6005
Cl Ag Hf Ga
2 1 1 1
Direct
0.0000 0.0000 0.5000
0.5000 0.0000 0.0000
0.0000 0.5000 0.0000
0.5000 0.5000 0.5000
0.0000 0.0000 0.0000
```

Computed properties:
The calculation puts the density of states at the Fermi level at 4.7 states/eV per cell. The space group is P4/mmm. The uncorrected formation energy comes out at 2.30 eV per formula unit. The total magnetic moment comes out at 1.07 μB/cell.

***

VASP calculation (PBE) on a geometry-optimized K2GaAgCl6 structure.

```
K2GaAgCl6
1.0
6.7967 0.0000 0.0000
0.0000 7.0567 0.0000
0.0000 -3.5284 6.1113
K Ga Cl Ag
2 1 6 1
Direct
0.1638 0.3333 0.6667
0.8362 0.6667 0.3333
0.0000 0.0000 0.0000
0.7923 0.1593 0.3186
0.7923 0.6814 0.8407
0.2077 0.8407 0.6814
0.2077 0.3186 0.1593
0.2077 0.8407 0.1593
0.7923 0.1593 0.8407
0.5000 0.0000 0.0000
```

Computed properties:
The calculation puts the density of states at the Fermi level at 0.0 states/eV per cell. The space group is P-3m1. As for the energy above the lowest structure with this stoichiometry: 0 meV/atom. The uncorrected formation energy comes out at -13.00 eV per formula unit. The total magnetic moment comes out at 0.00 μB/cell.

***

VASP calculation (PBE) on a geometry-optimized K2GaAgCl6 structure.

```
K2GaAgCl6
1.0
7.2181 0.0000 0.0000
3.6091 6.2511 0.0000
3.6091 2.0837 5.8936
K Cl Ag Ga
2 6 1 1
Direct
0.7500 0.7500 0.7500
0.2500 0.2500 0.2500
0.7646 0.2354 0.2354
0.2354 0.2354 0.7646
0.2354 0.7646 0.7646
0.2354 0.7646 0.2354
0.7646 0.2354 0.7646
0.7646 0.7646 0.2354
0.5000 0.5000 0.5000
0.0000 0.0000 0.0000
```

Computed properties:
The space group is Fm-3m. As for the energy above the lowest structure with this stoichiometry: 5 meV/atom. The uncorrected formation energy comes out at -12.95 eV per formula unit. The total magnetic moment comes out at 0.00 μB/cell.

***

VASP calculation (PBE) on a geometry-optimized Mg2GaAgCl structure.

```
Mg2GaAgCl
1.0
5.2549 0.0000 0.0000
0.0000 4.8269 0.0000
0.0000 0.0000 5.2549
Ag Cl Mg Ga
1 1 2 1
Direct
0.0000 0.0000 0.0000
0.5000 0.5000 0.5000
0.0000 0.0000 0.5000
0.5000 0.0000 0.0000
0.0000 0.5000 0.0000
```

Computed properties:
The calculation puts the density of states at the Fermi level at 2.6 states/eV per cell. The space group is P4/mmm. The uncorrected formation energy comes out at -0.72 eV per formula unit. The total magnetic moment comes out at 0.00 μB/cell.

***

VASP calculation (PBE) on a geometry-optimized NaGaAgCl5 structure.

```
NaGaAgCl5
1.0
-1.2571 -7.2785 -0.1707
7.2065 -0.7819 -1.4286
-0.9813 3.0966 9.3905
Ga Cl Ag Na
2 10 2 2
Direct
0.6513 0.3487 0.2500
0.3487 0.6513 0.7500
0.6415 0.6801 0.9181
0.3457 0.8736 0.6474
0.6543 0.1264 0.3526
0.6801 0.6415 0.4181
0.3199 0.3585 0.5819
0.1018 0.8982 0.2500
0.8736 0.3457 0.1474
0.1264 0.6543 0.8526
0.8982 0.1018 0.7500
0.3585 0.3199 0.0819
0.3270 0.6730 0.2500
0.6730 0.3270 0.7500
0.0000 0.0000 0.5000
0.0000 0.0000 0.0000
```

Computed properties:
The calculation puts the density of states at the Fermi level at 0.0 states/eV per cell. The space group is C2/c. The uncorrected formation energy comes out at -8.97 eV per formula unit. The total magnetic moment comes out at 0.00 μB/cell.

***

VASP calculation (PBE) on a geometry-optimized NaGa2AgCl8 structure.

```
NaGa2AgCl8
1.0
6.5496 0.0000 0.0000
-3.2748 5.6721 0.0000
0.0000 0.0000 9.3511
Ga Cl Na Ag
2 8 1 1
Direct
0.6667 0.3333 0.2361
0.3333 0.6667 0.7639
0.6668 0.6906 0.6933
0.6667 0.3333 0.0017
0.3094 0.9762 0.6933
0.6906 0.0238 0.3067
0.0238 0.3332 0.6933
0.9762 0.6668 0.3067
0.3333 0.6667 0.9983
0.3332 0.3094 0.3067
0.0000 0.0000 0.0000
0.0000 0.0000 0.5000
```

Computed properties:
The calculation puts the density of states at the Fermi level at 0.0 states/eV per cell. The space group is P-3. The uncorrected formation energy comes out at -13.29 eV per formula unit. The total magnetic moment comes out at 0.00 μB/cell.

***

VASP calculation (PBE) on a geometry-optimized GaAgP2Cl structure.

```
GaAgP2Cl
1.0
4.7263 0.0000 0.0000
0.0000 4.7263 0.0000
0.0000 0.0000 5.0324
P Ag Cl Ga
2 1 1 1
Direct
0.5000 0.0000 0.0000
0.0000 0.5000 0.0000
0.5000 0.5000 0.5000
0.0000 0.0000 0.5000
0.0000 0.0000 0.0000
```

Computed properties:
The calculation puts the density of states at the Fermi level at 2.4 states/eV per cell. The space group is P4/mmm. As for the energy above the lowest structure with this stoichiometry: 0 meV/atom. The uncorrected formation energy comes out at 3.12 eV per formula unit. The total magnetic moment comes out at 1.24 μB/cell.

***

VASP calculation (PBE) on a geometry-optimized GaAgP2Cl structure.

```
GaAgP2Cl
1.0
-1.8420 -2.6361 -3.4810
4.9938 0.6133 -3.1070
1.7461 -3.9076 2.0351
Ag Cl Ga P
1 1 1 2
Direct
0.0000 0.0000 0.0000
0.0000 0.5000 0.0000
0.5000 0.5000 0.5000
0.5000 0.0000 0.0000
0.0000 0.0000 0.5000
```

Computed properties:
The calculation puts the density of states at the Fermi level at 2.6 states/eV per cell. The space group is P4/mmm. As for the energy above the lowest structure with this stoichiometry: 70 meV/atom. The uncorrected formation energy comes out at 3.47 eV per formula unit. The total magnetic moment comes out at 1.73 μB/cell.

***

VASP calculation (PBE) on a geometry-optimized PaGaAgCl6 structure.

```
PaGaAgCl6
1.0
6.9404 0.0000 0.0000
-3.4702 6.0106 0.0000
0.0000 0.0000 13.4287
Cl Ag Ga Pa
12 2 2 2
Direct
0.0149 0.3598 0.6347
0.6551 0.6402 0.1347
0.6551 0.0149 0.3653
0.3449 0.3598 0.8653
0.3598 0.3449 0.3653
0.3598 0.0149 0.1347
0.6402 0.6551 0.6347
0.3449 0.9851 0.6347
0.6402 0.9851 0.8653
0.0149 0.6551 0.8653
0.9851 0.6402 0.3653
0.9851 0.3449 0.1347
0.3333 0.6667 0.2500
0.6667 0.3333 0.7500
0.0000 0.0000 0.0000
0.0000 0.0000 0.5000
0.3333 0.6667 0.7500
0.6667 0.3333 0.2500
```

Computed properties:
The calculation puts the density of states at the Fermi level at 0.9 states/eV per cell. The space group is P-31c. The uncorrected formation energy comes out at -11.84 eV per formula unit. The total magnetic moment comes out at 2.02 μB/cell.